{
  "formula": "K3CuSe",
  "functional": "PBE",
  "state": "relaxed",
  "lattice": [[6.254, 0.000, 0.000], [0.000, 6.254, 0.000], [0.000, 0.000, 6.254]],
  "species": ["K", "K", "K", "Cu", "Se"],
  "frac_coords": [[0.000, 0.000, 0.500], [0.000, 0.500, 0.000], [0.500, 0.000, 0.000], [0.500, 0.500, 0.500], [0.000, 0.000, 0.000]],
  "magnetic_moment_mub_per_fu": 0.00,
  "polymorph_energy_mev_per_atom": 0,
  "e_tot_ev_per_atom": -2.517,
  "raw_formation_energy_mev_per_atom": -342
}

{
  "formula": "SmMgIrO6",
  "functional": "PBE",
  "state": "relaxed",
  "lattice": [[5.511, 0.000, 0.000], [-2.755, 4.772, 0.000], [0.000, 0.000, 8.516]],
  "species": ["Sm", "Sm", "Mg", "Mg", "Ir", "Ir", "O", "O", "O", "O", "O", "O", "O", "O", "O", "O", "O", "O"],
  "frac_coords": [[0.333, 0.667, 0.250], [0.667, 0.333, 0.750], [0.000, 0.000, 0.000], [0.000, 0.000, 0.500], [0.333, 0.667, 0.750], [0.667, 0.333, 0.250], [0.055, 0.367, 0.622], [0.055, 0.689, 0.878], [0.311, 0.367, 0.878], [0.311, 0.945, 0.622], [0.367, 0.055, 0.122], [0.367, 0.311, 0.378], [0.633, 0.689, 0.622], [0.633, 0.945, 0.878], [0.689, 0.055, 0.378], [0.689, 0.633, 0.122], [0.945, 0.311, 0.122], [0.945, 0.633, 0.378]],
  "magnetic_moment_mub_per_fu": 0.01,
  "e_tot_ev_per_atom": -6.690,
  "raw_formation_energy_mev_per_atom": -1699
}

{
  "formula": "Cu2NiOs",
  "functional": "PBE",
  "state": "relaxed",
  "lattice": [[-1.313, 2.202, 4.323], [1.313, -2.202, 4.323], [1.313, 2.202, -4.323]],
  "species": ["Cu", "Cu", "Ni", "Os"],
  "frac_coords": [[0.000, 0.000, 0.000], [0.754, 0.254, 0.500], [0.243, 0.743, 0.500], [0.490, 0.490, 0.000]],
  "magnetic_moment_mub_per_fu": 1.01,
  "polymorph_energy_mev_per_atom": 173,
  "e_tot_ev_per_atom": -5.985,
  "delta_e_f_ev_per_atom": 0.32
}

{
  "formula": "KZr2Sc",
  "functional": "PBE",
  "state": "relaxed",
  "lattice": [[3.243, 0.000, 0.000], [0.000, 5.564, 0.000], [0.000, 0.000, 5.950]],
  "species": ["K", "Zr", "Zr", "Sc"],
  "frac_coords": [[0.000, 0.000, 0.000], [0.000, 0.500, 0.500], [0.500, 0.000, 0.500], [0.500, 0.500, 0.000]],
  "magnetic_moment_mub_per_fu": 0.27,
  "polymorph_energy_mev_per_atom": 450,
  "e_tot_ev_per_atom": -5.352,
  "delta_e_f_ev_per_atom": 0.78
}

{
  "formula": "CaPbSe2",
  "functional": "PBE",
  "state": "relaxed",
  "lattice": [[3.726, 0.000, 0.000], [0.000, 3.727, 0.000], [-0.067, 0.000, 7.409]],
  "species": ["Ca", "Pb", "Se", "Se"],
  "frac_coords": [[0.000, 0.000, 0.000], [0.000, 0.000, 0.500], [0.494, 0.500, 0.238], [0.506, 0.500, 0.762]],
  "magnetic_moment_mub_per_fu": 0.00,
  "e_tot_ev_per_atom": -4.176,
  "raw_formation_energy_mev_per_atom": -1007
}

{
  "formula": "PaTiCu4",
  "functional": "PBE",
  "state": "relaxed",
  "lattice": [[0.000, 3.564, 3.564], [3.564, 0.000, 3.564], [3.564, 3.564, 0.000]],
  "species": ["Pa", "Ti", "Cu", "Cu", "Cu", "Cu"],
  "frac_coords": [[0.000, 0.000, 0.000], [0.750, 0.750, 0.750], [0.376, 0.376, 0.376], [0.376, 0.376, 0.872], [0.376, 0.872, 0.376], [0.872, 0.376, 0.376]],
  "magnetic_moment_mub_per_fu": 0.53,
  "e_tot_ev_per_atom": -5.640,
  "delta_e_f_ev_per_atom": -0.01
}

{
  "formula": "ZnIn2Co",
  "functional": "PBE",
  "state": "relaxed",
  "lattice": [[3.381, 0.000, 0.000], [0.000, 3.517, 0.000], [0.000, 0.000, 5.877]],
  "species": ["Zn", "In", "In", "Co"],
  "frac_coords": [[0.000, 0.000, 0.000], [0.500, 0.500, 0.262], [0.500, 0.500, 0.738], [0.000, 0.000, 0.500]],
  "magnetic_moment_mub_per_fu": 0.44,
  "e_tot_ev_per_atom": -3.277,
  "delta_e_f_ev_per_atom": 0.19
}

{
  "formula": "SrCr2Br",
  "functional": "PBE",
  "state": "relaxed",
  "lattice": [[3.613, 0.000, 0.000], [0.000, 3.589, 0.000], [-1.790, 0.000, 8.017]],
  "species": ["Sr", "Cr", "Cr", "Br"],
  "frac_coords": [[0.000, 0.000, 0.000], [0.199, 0.000, 0.402], [0.651, 0.500, 0.306], [0.388, 0.500, 0.774]],
  "magnetic_moment_mub_per_fu": 0.24,
  "polymorph_energy_mev_per_atom": 0,
  "e_tot_ev_per_atom": -5.593,
  "raw_formation_energy_mev_per_atom": 57
}

{
  "formula": "SrAlS3",
  "functional": "PBE",
  "state": "relaxed",
  "lattice": [[4.727, 0.000, 0.000], [0.000, 4.727, 0.000], [0.000, 0.000, 4.727]],
  "species": ["Sr", "Al", "S", "S", "S"],
  "frac_coords": [[0.000, 0.000, 0.000], [0.500, 0.500, 0.500], [0.000, 0.500, 0.500], [0.500, 0.000, 0.500], [0.500, 0.500, 0.000]],
  "magnetic_moment_mub_per_fu": 0.00,
  "polymorph_energy_mev_per_atom": 234,
  "e_tot_ev_per_atom": -4.680,
  "raw_formation_energy_mev_per_atom": -1119
}

{
  "formula": "TaFePd4",
  "functional": "PBE",
  "state": "relaxed",
  "lattice": [[2.657, -3.742, 0.000], [2.657, 3.742, 0.000], [-2.509, 0.000, 4.728]],
  "species": ["Ta", "Fe", "Pd", "Pd", "Pd", "Pd"],
  "frac_coords": [[0.000, 0.000, 0.000], [0.500, 0.500, 0.500], [0.065, 0.437, 0.747], [0.437, 0.065, 0.747], [0.563, 0.935, 0.253], [0.935, 0.563, 0.253]],
  "magnetic_moment_mub_per_fu": 2.75,
  "e_tot_ev_per_atom": -6.975,
  "delta_e_f_ev_per_atom": -0.13
}

{
  "formula": "Er2NbBr",
  "functional": "PBE",
  "state": "relaxed",
  "lattice": [[1.648, 0.952, 10.590], [-1.648, 0.952, 10.590], [0.000, -1.903, 10.590]],
  "species": ["Er", "Er", "Nb", "Br"],
  "frac_coords": [[0.092, 0.092, 0.092], [0.908, 0.908, 0.908], [0.000, 0.000, 0.000], [0.500, 0.500, 0.500]],
  "magnetic_moment_mub_per_fu": 0.58,
  "e_tot_ev_per_atom": -5.088,
  "raw_formation_energy_mev_per_atom": 129
}

{
  "formula": "Tl12Cd5In2",
  "functional": "PBE",
  "state": "relaxed",
  "lattice": [[6.395, -5.346, 0.000], [6.395, 5.346, 0.000], [-2.330, 0.000, 8.157]],
  "species": ["Tl", "Tl", "Tl", "Tl", "Tl", "Tl", "Tl", "Tl", "Tl", "Tl", "Tl", "Tl", "Cd", "Cd", "Cd", "Cd", "Cd", "In", "In"],
  "frac_coords": [[0.087, 0.087, 0.200], [0.124, 0.512, 0.691], [0.135, 0.656, 0.105], [0.344, 0.865, 0.895], [0.359, 0.359, 0.372], [0.488, 0.876, 0.309], [0.512, 0.124, 0.691], [0.641, 0.641, 0.628], [0.656, 0.135, 0.105], [0.865, 0.344, 0.895], [0.876, 0.488, 0.309], [0.913, 0.913, 0.800], [0.125, 0.125, 0.600], [0.259, 0.259, 0.973], [0.500, 0.500, 0.000], [0.741, 0.741, 0.027], [0.875, 0.875, 0.400], [0.246, 0.754, 0.500], [0.754, 0.246, 0.500]],
  "magnetic_moment_mub_per_fu": 0.00,
  "e_tot_ev_per_atom": -1.981,
  "delta_e_f_ev_per_atom": 0.04
}

{
  "formula": "Th6Bi3Sb",
  "functional": "PBE",
  "state": "relaxed",
  "lattice": [[7.678, 0.000, 0.000], [0.000, 8.637, 0.000], [-7.671, 0.000, 10.304]],
  "species": ["Th", "Th", "Th", "Th", "Th", "Th", "Th", "Th", "Th", "Th", "Th", "Th", "Bi", "Bi", "Bi", "Bi", "Bi", "Bi", "Sb", "Sb"],
  "frac_coords": [[0.020, 0.061, 0.247], [0.020, 0.439, 0.747], [0.194, 0.671, 0.059], [0.194, 0.829, 0.559], [0.416, 0.163, 0.057], [0.416, 0.337, 0.557], [0.584, 0.663, 0.443], [0.584, 0.837, 0.943], [0.806, 0.171, 0.441], [0.806, 0.329, 0.941], [0.980, 0.561, 0.253], [0.980, 0.939, 0.753], [0.325, 0.149, 0.749], [0.325, 0.351, 0.249], [0.500, 0.000, 0.500], [0.500, 0.500, 0.000], [0.675, 0.649, 0.751], [0.675, 0.851, 0.251], [0.000, 0.000, 0.000], [0.000, 0.500, 0.500]],
  "magnetic_moment_mub_per_fu": 0.00,
  "e_tot_ev_per_atom": -6.363,
  "raw_formation_energy_mev_per_atom": -334
}

{
  "formula": "Tb9PmDy2",
  "functional": "PBE",
  "state": "relaxed",
  "lattice": [[5.042, 0.000, 0.000], [0.000, 5.042, 0.000], [0.000, 0.000, 15.124]],
  "species": ["Tb", "Tb", "Tb", "Tb", "Tb", "Tb", "Tb", "Tb", "Tb", "Pm", "Dy", "Dy"],
  "frac_coords": [[0.000, 0.000, 0.000], [0.000, 0.000, 0.334], [0.000, 0.000, 0.666], [0.000, 0.500, 0.168], [0.000, 0.500, 0.500], [0.000, 0.500, 0.832], [0.500, 0.000, 0.168], [0.500, 0.000, 0.500], [0.500, 0.000, 0.832], [0.500, 0.500, 0.000], [0.500, 0.500, 0.334], [0.500, 0.500, 0.666]],
  "magnetic_moment_mub_per_fu": 0.00,
  "polymorph_energy_mev_per_atom": 0,
  "e_tot_ev_per_atom": -4.616,
  "delta_e_f_ev_per_atom": 0.02
}

{
  "formula": "TlTc2Pt",
  "functional": "PBE",
  "state": "relaxed",
  "lattice": [[1.447, 0.835, 9.340], [-1.447, 0.835, 9.340], [0.000, -1.671, 9.340]],
  "species": ["Tl", "Tc", "Tc", "Pt"],
  "frac_coords": [[0.000, 0.000, 0.000], [0.243, 0.243, 0.243], [0.504, 0.504, 0.504], [0.756, 0.756, 0.756]],
  "magnetic_moment_mub_per_fu": 0.00,
  "polymorph_energy_mev_per_atom": 96,
  "e_tot_ev_per_atom": -6.996,
  "delta_e_f_ev_per_atom": 0.29
}

{
  "formula": "TaAg2Cl",
  "functional": "PBE",
  "state": "relaxed",
  "lattice": [[4.458, -1.477, 0.000], [4.458, 1.477, 0.000], [-1.047, 0.000, 5.585]],
  "species": ["Ta", "Ag", "Ag", "Cl"],
  "frac_coords": [[0.000, 0.000, 0.000], [0.500, 0.500, 0.520], [0.747, 0.747, 0.301], [0.265, 0.265, 0.848]],
  "magnetic_moment_mub_per_fu": 0.00,
  "polymorph_energy_mev_per_atom": 252,
  "e_tot_ev_per_atom": -4.563,
  "raw_formation_energy_mev_per_atom": 288
}

{
  "formula": "Ce2HoTl2Cd2",
  "functional": "PBE",
  "state": "relaxed",
  "lattice": [[2.429, 1.402, 8.997], [-2.429, 1.402, 8.997], [0.000, -2.804, 8.997]],
  "species": ["Ce", "Ce", "Ho", "Tl", "Tl", "Cd", "Cd"],
  "frac_coords": [[0.146, 0.146, 0.146], [0.854, 0.854, 0.854], [0.000, 0.000, 0.000], [0.276, 0.276, 0.276], [0.724, 0.724, 0.724], [0.422, 0.422, 0.422], [0.578, 0.578, 0.578]],
  "magnetic_moment_mub_per_fu": 2.44,
  "e_tot_ev_per_atom": -3.389,
  "delta_e_f_ev_per_atom": -0.10
}

{
  "formula": "SrYSiO2",
  "functional": "PBE",
  "state": "relaxed",
  "lattice": [[4.478, 0.000, 0.000], [0.000, 4.478, 0.000], [0.000, 0.000, 5.465]],
  "species": ["Sr", "Y", "Si", "O", "O"],
  "frac_coords": [[0.000, 0.000, 0.000], [0.500, 0.500, 0.500], [0.000, 0.000, 0.500], [0.000, 0.500, 0.000], [0.500, 0.000, 0.000]],
  "magnetic_moment_mub_per_fu": 0.00,
  "e_tot_ev_per_atom": -5.122,
  "raw_formation_energy_mev_per_atom": -425
}

{
  "formula": "YPu2Pd3",
  "functional": "PBE",
  "state": "relaxed",
  "lattice": [[3.470, 0.000, 0.000], [0.000, 3.470, 0.000], [0.000, 0.000, 10.870]],
  "species": ["Y", "Pu", "Pu", "Pd", "Pd", "Pd"],
  "frac_coords": [[0.000, 0.000, 0.000], [0.000, 0.000, 0.334], [0.000, 0.000, 0.666], [0.500, 0.500, 0.158], [0.500, 0.500, 0.500], [0.500, 0.500, 0.842]],
  "magnetic_moment_mub_per_fu": 11.44,
  "e_tot_ev_per_atom": -9.009,
  "delta_e_f_ev_per_atom": -0.56
}

{
  "formula": "Mg2CuN2",
  "functional": "PBE",
  "state": "relaxed",
  "lattice": [[5.337, -2.022, 0.000], [5.337, 2.022, 0.000], [-3.734, 0.000, 5.967]],
  "species": ["Mg", "Mg", "Mg", "Mg", "Cu", "Cu", "N", "N", "N", "N"],
  "frac_coords": [[0.044, 0.044, 0.236], [0.327, 0.327, 0.972], [0.673, 0.673, 0.028], [0.956, 0.956, 0.764], [0.360, 0.360, 0.390], [0.640, 0.640, 0.610], [0.178, 0.178, 0.098], [0.482, 0.482, 0.698], [0.518, 0.518, 0.302], [0.822, 0.822, 0.902]],
  "magnetic_moment_mub_per_fu": 0.00,
  "e_tot_ev_per_atom": -5.092,
  "raw_formation_energy_mev_per_atom": -304
}